# Pm4PRuBr2 PBE optimized geometry
# Formation energy from raw total energies in meV/atom: -1113
data_Pm4PRuBr2
_cell_length_a 4.053
_cell_length_b 7.413
_cell_length_c 7.774
_cell_angle_alpha 105.76
_cell_angle_beta 90.00
_cell_angle_gamma 90.00
_space_group_name_H-M_alt 'P 1'
_space_group_IT_number 1
loop_
_space_group_symop_operation_xyz
'x,y,z'
loop_
_atom_site_label
_atom_site_type_symbol
_atom_site_fract_x
_atom_site_fract_y
_atom_site_fract_z
Pm1 Pm 0.500 0.244 0.192
Pm2 Pm 0.500 0.756 0.808
Pm3 Pm 0.000 0.275 0.801
Pm4 Pm 0.000 0.725 0.199
P1 P 0.000 0.000 0.000
Ru1 Ru 0.500 0.500 0.000
Br1 Br 0.500 0.000 0.500
Br2 Br 0.000 0.500 0.500

=====

# Li3MgAg3 PBE optimized geometry
# Formation enthalpy at 0 K in meV per atom: -103
# Distance to the lowest polymorph of the same formula in meV/atom: 54
data_Li3MgAg3
_cell_length_a 7.556
_cell_length_b 7.556
_cell_length_c 6.668
_cell_angle_alpha 55.49
_cell_angle_beta 55.49
_cell_angle_gamma 60.00
_space_group_name_H-M_alt 'P 1'
_space_group_IT_number 1
loop_
_space_group_symop_operation_xyz
'x,y,z'
loop_
_atom_site_label
_atom_site_type_symbol
_atom_site_fract_x
_atom_site_fract_y
_atom_site_fract_z
Li1 Li 0.160 0.716 0.236
Li2 Li 0.888 0.160 0.236
Li3 Li 0.716 0.888 0.236
Li4 Li 0.284 0.112 0.764
Li5 Li 0.112 0.840 0.764
Li6 Li 0.840 0.284 0.764
Mg1 Mg 0.401 0.401 0.797
Mg2 Mg 0.599 0.599 0.203
Ag1 Ag 0.552 0.701 0.752
Ag2 Ag 0.701 0.996 0.752
Ag3 Ag 0.996 0.552 0.752
Ag4 Ag 0.004 0.448 0.248
Ag5 Ag 0.299 0.004 0.248
Ag6 Ag 0.448 0.299 0.248

=====

# Tm2Se3 PBE optimized geometry
# Formation energy from raw total energies in meV/atom: -1877
data_Tm2Se3
_cell_length_a 13.382
_cell_length_b 12.774
_cell_length_c 7.003
_cell_angle_alpha 79.33
_cell_angle_beta 69.72
_cell_angle_gamma 30.95
_space_group_name_H-M_alt 'P 1'
_space_group_IT_number 1
loop_
_space_group_symop_operation_xyz
'x,y,z'
loop_
_atom_site_label
_atom_site_type_symbol
_atom_site_fract_x
_atom_site_fract_y
_atom_site_fract_z
Tm1 Tm 0.334 0.334 0.166
Tm2 Tm 0.166 0.166 0.334
Tm3 Tm 0.916 0.916 0.084
Tm4 Tm 0.084 0.084 0.916
Tm5 Tm 0.997 0.997 0.503
Tm6 Tm 0.503 0.503 0.997
Tm7 Tm 0.253 0.253 0.747
Tm8 Tm 0.747 0.747 0.253
Se1 Se 0.007 0.493 0.493
Se2 Se 0.493 0.007 0.007
Se3 Se 0.243 0.757 0.757
Se4 Se 0.757 0.243 0.243
Se5 Se 0.664 0.174 0.841
Se6 Se 0.841 0.321 0.664
Se7 Se 0.321 0.841 0.174
Se8 Se 0.174 0.664 0.321
Se9 Se 0.586 0.076 0.409
Se10 Se 0.409 0.929 0.586
Se11 Se 0.929 0.409 0.076
Se12 Se 0.076 0.586 0.929

=====

# Na2InAu3 PBE optimized geometry
# Formation enthalpy at 0 K in meV per atom: -326
data_Na2InAu3
_cell_length_a 5.639
_cell_length_b 5.639
_cell_length_c 5.639
_cell_angle_alpha 61.87
_cell_angle_beta 61.87
_cell_angle_gamma 61.87
_space_group_name_H-M_alt 'P 1'
_space_group_IT_number 1
loop_
_space_group_symop_operation_xyz
'x,y,z'
loop_
_atom_site_label
_atom_site_type_symbol
_atom_site_fract_x
_atom_site_fract_y
_atom_site_fract_z
Na1 Na 0.378 0.378 0.378
Na2 Na 0.622 0.622 0.622
In1 In 0.000 0.000 0.000
Au1 Au 0.000 0.000 0.500
Au2 Au 0.500 0.000 0.000
Au3 Au 0.000 0.500 0.000

=====

# IrSeI PBE optimized geometry
# Formation energy from raw total energies in meV/atom: -115
data_IrSeI
_cell_length_a 3.845
_cell_length_b 3.845
_cell_length_c 6.353
_cell_angle_alpha 90.00
_cell_angle_beta 90.00
_cell_angle_gamma 120.00
_space_group_name_H-M_alt 'P 1'
_space_group_IT_number 1
loop_
_space_group_symop_operation_xyz
'x,y,z'
loop_
_atom_site_label
_atom_site_type_symbol
_atom_site_fract_x
_atom_site_fract_y
_atom_site_fract_z
I1 I 0.000 0.000 0.108
Ir1 Ir 0.667 0.333 0.349
Se1 Se 0.333 0.667 0.543

=====

# Re2MoCl PBE optimized geometry
# Formation energy from raw total energies in meV/atom: 243
# Distance to the lowest polymorph of the same formula in meV/atom: 0
data_Re2MoCl
_cell_length_a 10.127
_cell_length_b 10.127
_cell_length_c 10.127
_cell_angle_alpha 16.11
_cell_angle_beta 16.11
_cell_angle_gamma 16.11
_space_group_name_H-M_alt 'P 1'
_space_group_IT_number 1
loop_
_space_group_symop_operation_xyz
'x,y,z'
loop_
_atom_site_label
_atom_site_type_symbol
_atom_site_fract_x
_atom_site_fract_y
_atom_site_fract_z
Cl1 Cl 0.478 0.478 0.478
Mo1 Mo 0.749 0.749 0.749
Re1 Re 0.005 0.005 0.005
Re2 Re 0.268 0.268 0.268

=====

# MnAsCl2 PBE optimized geometry
# Formation energy from raw total energies in meV/atom: -403
# Distance to the lowest polymorph of the same formula in meV/atom: 17
data_MnAsCl2
_cell_length_a 7.416
_cell_length_b 7.416
_cell_length_c 7.416
_cell_angle_alpha 153.92
_cell_angle_beta 140.76
_cell_angle_gamma 47.73
_space_group_name_H-M_alt 'P 1'
_space_group_IT_number 1
loop_
_space_group_symop_operation_xyz
'x,y,z'
loop_
_atom_site_label
_atom_site_type_symbol
_atom_site_fract_x
_atom_site_fract_y
_atom_site_fract_z
As1 As 0.613 0.113 0.500
Mn1 Mn 0.474 0.474 0.000
Cl1 Cl 0.062 0.062 0.000
Cl2 Cl 0.351 0.851 0.500

=====

# Cs4Ir2Pd PBE optimized geometry
# Formation enthalpy at 0 K in meV per atom: 876
data_Cs4Ir2Pd
_cell_length_a 6.867
_cell_length_b 6.867
_cell_length_c 8.628
_cell_angle_alpha 66.55
_cell_angle_beta 66.55
_cell_angle_gamma 90.00
_space_group_name_H-M_alt 'P 1'
_space_group_IT_number 1
loop_
_space_group_symop_operation_xyz
'x,y,z'
loop_
_atom_site_label
_atom_site_type_symbol
_atom_site_fract_x
_atom_site_fract_y
_atom_site_fract_z
Cs1 Cs 0.786 0.786 0.428
Cs2 Cs 0.214 0.214 0.572
Cs3 Cs 0.000 0.500 0.000
Cs4 Cs 0.500 0.000 0.000
Ir1 Ir 0.583 0.583 0.835
Ir2 Ir 0.417 0.417 0.165
Pd1 Pd 0.000 0.000 0.000

=====

# La12Ho6Sc PBE optimized geometry
# Formation enthalpy at 0 K in meV per atom: 33
data_La12Ho6Sc
_cell_length_a 9.630
_cell_length_b 9.630
_cell_length_c 9.630
_cell_angle_alpha 110.80
_cell_angle_beta 110.80
_cell_angle_gamma 110.80
_space_group_name_H-M_alt 'P 1'
_space_group_IT_number 1
loop_
_space_group_symop_operation_xyz
'x,y,z'
loop_
_atom_site_label
_atom_site_type_symbol
_atom_site_fract_x
_atom_site_fract_y
_atom_site_fract_z
La1 La 0.374 0.058 0.583
La2 La 0.058 0.583 0.374
La3 La 0.583 0.374 0.058
La4 La 0.626 0.942 0.417
La5 La 0.942 0.417 0.626
La6 La 0.417 0.626 0.942
La7 La 0.103 0.155 0.739
La8 La 0.261 0.897 0.845
La9 La 0.845 0.261 0.897
La10 La 0.897 0.845 0.261
La11 La 0.739 0.103 0.155
La12 La 0.155 0.739 0.103
Ho1 Ho 0.214 0.316 0.469
Ho2 Ho 0.684 0.531 0.786
Ho3 Ho 0.531 0.786 0.684
Ho4 Ho 0.786 0.684 0.531
Ho5 Ho 0.316 0.469 0.214
Ho6 Ho 0.469 0.214 0.316
Sc1 Sc 0.000 0.000 0.000

=====

# LaTbPu2P4 PBE optimized geometry
# Formation enthalpy at 0 K in meV per atom: -1318
data_LaTbPu2P4
_cell_length_a 4.077
_cell_length_b 7.036
_cell_length_c 7.049
_cell_angle_alpha 70.39
_cell_angle_beta 90.00
_cell_angle_gamma 90.00
_space_group_name_H-M_alt 'P 1'
_space_group_IT_number 1
loop_
_space_group_symop_operation_xyz
'x,y,z'
loop_
_atom_site_label
_atom_site_type_symbol
_atom_site_fract_x
_atom_site_fract_y
_atom_site_fract_z
La1 La 0.500 0.500 0.000
Tb1 Tb 0.000 0.500 0.500
Pu1 Pu 0.000 0.000 0.000
Pu2 Pu 0.500 0.000 0.500
P1 P 0.000 0.765 0.737
P2 P 0.000 0.235 0.263
P3 P 0.500 0.760 0.252
P4 P 0.500 0.240 0.748

=====

# Ce2TlS PBE optimized geometry
# Formation energy from raw total energies in meV/atom: -1046
# Distance to the lowest polymorph of the same formula in meV/atom: 0
data_Ce2TlS
_cell_length_a 3.968
_cell_length_b 3.968
_cell_length_c 8.427
_cell_angle_alpha 76.38
_cell_angle_beta 76.38
_cell_angle_gamma 60.00
_space_group_name_H-M_alt 'P 1'
_space_group_IT_number 1
loop_
_space_group_symop_operation_xyz
'x,y,z'
loop_
_atom_site_label
_atom_site_type_symbol
_atom_site_fract_x
_atom_site_fract_y
_atom_site_fract_z
Tl1 Tl 0.000 0.000 0.000
S1 S 0.500 0.500 0.500
Ce1 Ce 0.767 0.767 0.699
Ce2 Ce 0.233 0.233 0.301

=====

# KBaAgSe PBE optimized geometry
# Formation energy from raw total energies in meV/atom: -840
data_KBaAgSe
_cell_length_a 5.676
_cell_length_b 5.676
_cell_length_c 5.676
_cell_angle_alpha 60.00
_cell_angle_beta 60.00
_cell_angle_gamma 60.00
_space_group_name_H-M_alt 'P 1'
_space_group_IT_number 1
loop_
_space_group_symop_operation_xyz
'x,y,z'
loop_
_atom_site_label
_atom_site_type_symbol
_atom_site_fract_x
_atom_site_fract_y
_atom_site_fract_z
K1 K 0.000 0.000 0.000
Se1 Se 0.250 0.250 0.250
Ba1 Ba 0.500 0.500 0.500
Ag1 Ag 0.750 0.750 0.750

=====

Here are the calculated size of the total moment numbers, same order: 0.00, 0.00, 0.00, 0.00, 0.00, 0.00, 4.00, 0.00, 0.00, 0.15, 1.45, 0.00 (μB/cell).